1.
This record from Alexandria describes an optimized crystal structure of Er5Sc2Cd. The functional is PBE.

As for the density of states at the Fermi level: 0.93 states/eV/atom. The calculation puts the magnetization at 0.00 μB/f.u. The space group is No. 107. For the formation energy, the calculation gives -0.5 kJ per mole of atoms. The calculation puts the calculated total energy at -36.434 eV for the cell shown.

Lattice parameters (Å, degrees): 7.867 7.862 6.622 126.42 126.45 89.99
Fractional positions:
Er (0.775, 0.775, 0.549)
Er (0.697, 0.697, 0.937)
Er (0.240, 0.696, 0.936)
Er (0.240, 0.240, 0.937)
Er (0.696, 0.240, 0.936)
Sc (0.714, 0.214, 0.427)
Sc (0.213, 0.713, 0.427)
Cd (0.202, 0.203, 0.405)

***

2.
This record from Alexandria describes an optimized crystal structure of Ca2BN2. The functional is PBE.

As for the density of states at the Fermi level: 0.44 states/eV/atom. The calculation puts the magnetization at 0.66 μB/f.u. For the energy relative to the lowest polymorph listed for this composition, the calculation gives 0 meV/atom. The space group is No. 139. The calculation puts the calculated total energy at -32.229 eV for the cell shown. The formation energy without anion corrections comes out at -0.9796 eV per atom.

Lattice parameters (Å, degrees): 4.707 4.707 5.329 116.21 116.21 90.00
Fractional positions:
N (0.663, 0.663, 0.327)
N (0.337, 0.337, 0.673)
B (0.500, 0.500, 0.000)
Ca (0.250, 0.750, 0.500)
Ca (0.750, 0.250, 0.500)

***

3.
This record from Alexandria describes an optimized crystal structure of HfZrBr2. The functional is PBE.

As for the density of states at the Fermi level: 1.90 states/eV/atom. The calculation puts the magnetization at 0.64 μB/f.u. For the energy relative to the lowest polymorph listed for this composition, the calculation gives 1053 meV/atom. The space group is No. 225. The calculation puts the calculated total energy at -21.507 eV for the cell shown. The formation energy without anion corrections comes out at 0.0851 eV per atom.

Lattice parameters (Å, degrees): 4.862 4.862 4.862 60.00 60.00 60.00
Fractional positions:
Br (0.750, 0.750, 0.750)
Br (0.250, 0.250, 0.250)
Hf (0.500, 0.500, 0.500)
Zr (0.000, 0.000, 0.000)

***

4.
This record from Alexandria describes an optimized crystal structure of BaTaIn2. The functional is PBE.

As for the density of states at the Fermi level: 1.30 states/eV/atom. The calculation puts the magnetization at 0.00 μB/f.u. For the energy relative to the lowest polymorph listed for this composition, the calculation gives 179 meV/atom. The space group is No. 166. For the formation energy, the calculation gives 33.1 kJ per mole of atoms. The calculation puts the calculated total energy at -17.880 eV for the cell shown.

Lattice parameters (Å, degrees): 11.172 11.172 11.172 16.92 16.92 16.92
Fractional positions:
Ta (0.250, 0.250, 0.250)
Ba (0.750, 0.750, 0.750)
In (0.511, 0.511, 0.511)
In (0.989, 0.989, 0.989)

***

5.
This record from Alexandria describes an optimized crystal structure of Ho2TiSe4. The functional is PBE.

As for the density of states at the Fermi level: 0.68 states/eV/atom. The calculation puts the magnetization at 1.57 μB/f.u. The space group is No. 12. The calculation puts the calculated total energy at -41.888 eV for the cell shown. The formation energy without anion corrections comes out at -1.5571 eV per atom.

Lattice parameters (Å, degrees): 3.966 7.139 7.515 119.36 105.30 90.00
Fractional positions:
Se (0.375, 0.727, 0.749)
Se (0.888, 0.198, 0.775)
Se (0.625, 0.273, 0.251)
Se (0.112, 0.802, 0.225)
Ti (0.000, 0.000, 0.000)
Ho (0.268, 0.255, 0.535)
Ho (0.732, 0.745, 0.465)

***

6.
This record from Alexandria describes an optimized crystal structure of Al3PtO. The functional is PBE.

As for the density of states at the Fermi level: 0.42 states/eV/atom. The calculation puts the magnetization at 0.00 μB/f.u. For the energy relative to the lowest polymorph listed for this composition, the calculation gives 0 meV/atom. The space group is No. 221. The calculation puts the calculated total energy at -26.401 eV for the cell shown. The formation energy without anion corrections comes out at -0.8349 eV per atom.

Lattice parameters (Å, degrees): 3.997 3.997 3.997 90.00 90.00 90.00
Fractional positions:
Al (0.000, 0.500, 0.000)
Al (0.000, 0.000, 0.500)
Al (0.500, 0.000, 0.000)
Pt (0.500, 0.500, 0.500)
O (0.000, 0.000, 0.000)

***

7.
This record from Alexandria describes an optimized crystal structure of PrTl3Br6. The functional is PBE.

As for the density of states at the Fermi level: 0.00 states/eV/atom. The calculation puts the magnetization at 0.00 μB/f.u. The space group is No. 14. The calculation puts the calculated total energy at -69.464 eV for the cell shown. The formation energy without anion corrections comes out at -1.2816 eV per atom.

Lattice parameters (Å, degrees): 7.902 8.713 11.481 90.00 86.37 90.00
Fractional positions:
Tl (0.000, 0.000, 0.500)
Tl (0.529, 0.921, 0.772)
Tl (0.971, 0.421, 0.728)
Tl (0.029, 0.579, 0.272)
Tl (0.471, 0.079, 0.228)
Tl (0.500, 0.500, 0.000)
Br (0.857, 0.933, 0.236)
Br (0.337, 0.779, 0.416)
Br (0.143, 0.067, 0.764)
Br (0.691, 0.169, 0.954)
Br (0.837, 0.721, 0.916)
Br (0.191, 0.331, 0.454)
Br (0.309, 0.831, 0.046)
Br (0.357, 0.567, 0.736)
Br (0.163, 0.279, 0.084)
Br (0.663, 0.221, 0.584)
Br (0.809, 0.669, 0.546)
Br (0.643, 0.433, 0.264)
Pr (0.500, 0.500, 0.500)
Pr (0.000, 0.000, 0.000)

***

8.
This record from Alexandria describes an optimized crystal structure of BaLi2SmAs2. The functional is PBE.

As for the density of states at the Fermi level: 0.48 states/eV/atom. The calculation puts the magnetization at 0.53 μB/f.u. The space group is No. 164. For the formation energy, the calculation gives -94.1 kJ per mole of atoms. The calculation puts the calculated total energy at -25.619 eV for the cell shown.

Lattice parameters (Å, degrees): 4.399 4.399 8.557 90.00 90.00 120.00
Fractional positions:
Li (0.333, 0.667, 0.725)
Li (0.667, 0.333, 0.275)
Sm (0.000, 0.000, 0.500)
As (0.667, 0.333, 0.710)
As (0.333, 0.667, 0.290)
Ba (0.000, 0.000, 0.000)

***

9.
This record from Alexandria describes an optimized crystal structure of ZnBiH3. The functional is PBE.

As for the density of states at the Fermi level: 0.40 states/eV/atom. The calculation puts the magnetization at 0.00 μB/f.u. For the energy relative to the lowest polymorph listed for this composition, the calculation gives 0 meV/atom. The space group is No. 221. The calculation puts the calculated total energy at -12.264 eV for the cell shown.

Lattice parameters (Å, degrees): 3.834 3.834 3.834 90.00 90.00 90.00
Fractional positions:
Zn (0.000, 0.000, 0.000)
H (0.000, 0.500, 0.000)
H (0.000, 0.000, 0.500)
H (0.500, 0.000, 0.000)
Bi (0.500, 0.500, 0.500)